No. 1
Entry from Alexandria via LeMat-Bulk: an optimized crystal structure of RbCdH6Ir (GGA-PBE).

Output
- Space-group type: P312
- DFT total energy: -32.82 eV per cell
- Volume: 128 Å³ per cell
- DOS(E_F): 0.0 states/eV/cell

```
9
Lattice="4.923 0.001 0.000 2.462 4.263 0.000 0.000 0.000 6.090" Properties=species:S:1:pos:R:3 pbc="T T T"
Ir 2.461 1.421 3.045
H 2.999 2.610 2.000
H 1.700 0.362 4.090
H 1.164 1.292 1.999
H 3.223 0.362 2.000
H 3.759 1.292 4.090
H 1.925 2.610 4.089
Cd 4.923 2.842 3.045
Rb 7.385 4.263 0.000
```

=====

No. 2
Entry from Alexandria via LeMat-Bulk: an optimized crystal structure of Cd2HIrRu (GGA-PBE).

Output
- Space-group type: P4/mmm
- DFT total energy: -19.60 eV per cell
- Volume: 87 Å³ per cell
- DOS(E_F): 3.0 states/eV/cell

```
5
Lattice="-0.671 2.003 -4.768 -3.075 -0.840 0.080 -1.205 4.615 2.108" Properties=species:S:1:pos:R:3 pbc="T T T"
Ru -2.475 2.889 -1.290
Cd -0.335 1.001 -2.384
Cd -0.603 2.308 1.054
H -1.538 -0.420 0.040
Ir 0.000 0.000 0.000
```

=====

No. 3
Entry from Alexandria via LeMat-Bulk: an optimized crystal structure of CdSbH2Ir (GGA-PBE).

Output
- Space-group type: P4/mmm
- DFT total energy: -18.46 eV per cell
- Volume: 80 Å³ per cell
- DOS(E_F): 1.6 states/eV/cell

```
5
Lattice="3.871 0.000 0.000 0.000 5.336 0.000 0.000 0.000 3.871" Properties=species:S:1:pos:R:3 pbc="T T T"
Sb 0.000 0.000 0.000
H 1.936 0.000 0.000
H 0.000 0.000 1.936
Cd 1.936 2.668 1.936
Ir 0.000 2.668 0.000
```

=====

No. 4
Entry from Alexandria via LeMat-Bulk: an optimized crystal structure of ScCdH8Ir2 (GGA-PBE).

Output
- Space-group type: C2/m
- DFT total energy: -52.60 eV per cell
- Volume: 103 Å³ per cell
- DOS(E_F): 2.7 states/eV/cell

```
12
Lattice="4.262 0.000 0.000 2.131 4.298 0.355 2.131 2.040 5.774" Properties=species:S:1:pos:R:3 pbc="T T T"
H 6.394 3.693 3.826
H 4.262 2.247 0.930
H 4.262 4.090 5.199
H 5.340 4.977 2.319
H 5.340 1.360 3.810
H 2.131 2.644 2.303
H 3.185 4.977 2.319
H 3.185 1.360 3.810
Ir 6.394 4.838 5.082
Ir 2.131 1.499 1.047
Sc 4.262 3.169 3.064
Cd 0.000 0.000 0.000
```

=====

No. 5
Entry from Alexandria via LeMat-Bulk: an optimized crystal structure of Sc2CdHIr (GGA-PBE).

Output
- Space-group type: P4/mmm
- DFT total energy: -28.40 eV per cell
- Volume: 79 Å³ per cell
- DOS(E_F): 3.2 states/eV/cell

```
5
Lattice="4.594 0.000 0.000 0.000 4.594 0.000 0.000 0.000 3.745" Properties=species:S:1:pos:R:3 pbc="T T T"
Cd 2.297 2.297 1.872
Ir 0.000 0.000 1.872
Sc 2.297 0.000 0.000
Sc 0.000 2.297 0.000
H 0.000 0.000 0.000
```

=====

No. 6
Entry from Alexandria via LeMat-Bulk: an optimized crystal structure of ScCdH6Ir2 (GGA-PBE).

Output
- Space-group type: C2/c
- DFT total energy: -93.34 eV per cell
- Volume: 188 Å³ per cell
- DOS(E_F): 6.1 states/eV/cell

```
20
Lattice="-2.381 -5.209 -0.357 4.481 -1.121 3.405 -3.774 2.715 3.935" Properties=species:S:1:pos:R:3 pbc="T T T"
Sc -0.612 -2.914 2.114
Sc -1.063 -0.701 4.869
H -1.861 -2.307 3.664
H -0.937 1.429 5.277
H -3.183 -0.834 4.474
H 1.508 -2.781 2.509
H -1.876 -2.496 5.972
H 0.767 -1.667 5.533
H 0.118 -3.790 4.064
H -1.793 0.174 2.919
H 0.186 -1.308 3.319
H -0.738 -5.045 1.706
H -2.442 -1.949 1.450
H 0.201 -1.119 1.010
Cd 2.495 -1.063 3.818
Cd -4.170 -2.552 3.165
Ir -1.712 -3.687 4.596
Ir 1.853 -4.045 3.548
Ir -3.528 0.430 3.435
Ir 0.037 0.072 2.387
```

=====

No. 7
Entry from Alexandria via LeMat-Bulk: an optimized crystal structure of SmCdH8Ir2 (GGA-PBE).

Output
- Space-group type: R-3
- DFT total energy: -50.81 eV per cell
- Volume: 119 Å³ per cell
- DOS(E_F): 0.8 states/eV/cell

```
12
Lattice="-4.806 -0.471 -0.101 -2.150 -3.405 2.667 -2.785 2.516 5.340" Properties=species:S:1:pos:R:3 pbc="T T T"
Ir -2.407 -0.573 1.702
Ir -7.334 -0.786 6.205
H -3.637 0.552 5.443
H -7.207 -1.822 4.985
H -5.726 -0.439 6.067
H -2.534 0.463 2.922
H -5.682 1.389 4.520
H -6.104 -1.911 2.463
H -4.015 -0.920 1.840
H -4.059 -2.748 3.387
Cd 0.000 0.000 0.000
Sm -4.871 -0.680 3.953
```

=====

No. 8
Entry from Alexandria via LeMat-Bulk: an optimized crystal structure of SmCdH6Ir2 (GGA-PBE).

Output
- Space-group type: R-3m
- DFT total energy: -46.11 eV per cell
- Volume: 101 Å³ per cell
- DOS(E_F): 1.9 states/eV/cell

```
10
Lattice="4.717 0.000 0.000 2.358 4.085 0.000 2.358 1.362 5.262" Properties=species:S:1:pos:R:3 pbc="T T T"
H 4.717 4.199 0.847
H 3.439 1.985 0.847
H 5.995 1.986 0.847
H 5.995 3.461 4.415
H 4.717 1.248 4.415
H 3.439 3.461 4.415
Ir 7.075 4.085 3.353
Ir 2.358 1.362 1.909
Cd 4.717 2.723 2.631
Sm 0.000 0.000 0.000
```

=====

No. 9
Entry from Alexandria via LeMat-Bulk: an optimized crystal structure of SrCdH6Ir (GGA-PBE).

Output
- Space-group type: P312
- DFT total energy: -33.73 eV per cell
- Volume: 103 Å³ per cell
- DOS(E_F): 0.5 states/eV/cell

```
9
Lattice="-1.972 2.232 3.781 -2.487 -4.154 1.155 4.534 0.795 1.895" Properties=species:S:1:pos:R:3 pbc="T T T"
H -2.206 -2.616 1.987
H -1.896 0.555 3.219
H -2.814 -2.101 4.308
H 0.425 -2.771 3.450
H -0.110 -1.010 5.075
H -0.197 -0.385 1.717
Sr 2.193 -0.855 1.649
Ir -0.986 1.116 1.890
Cd -1.133 -1.388 3.292
```

=====

No. 10
Entry from Alexandria via LeMat-Bulk: an optimized crystal structure of Sr2CdH6Ir (GGA-PBE).

Output
- Space-group type: P-3m1
- DFT total energy: -38.02 eV per cell
- Volume: 162 Å³ per cell
- DOS(E_F): 2.0 states/eV/cell

```
10
Lattice="7.656 0.000 0.000 0.000 4.940 0.000 0.000 -2.470 4.278" Properties=species:S:1:pos:R:3 pbc="T T T"
Ir 0.000 0.000 0.000
H 0.946 3.734 0.696
H 6.710 0.000 1.392
H 6.710 1.264 3.582
H 6.710 -1.264 3.582
H 0.946 1.206 0.696
H 0.946 2.470 2.886
Sr 6.106 2.470 1.426
Sr 1.549 0.000 2.852
Cd 3.828 0.000 0.000
```

=====

No. 11
Entry from Alexandria via LeMat-Bulk: an optimized crystal structure of SrCdH8Ir2 (GGA-PBE).

Output
- Space-group type: R-3
- DFT total energy: -48.38 eV per cell
- Volume: 128 Å³ per cell
- DOS(E_F): 0.1 states/eV/cell

```
12
Lattice="4.999 0.000 0.000 2.499 4.329 0.000 2.499 1.443 5.913" Properties=species:S:1:pos:R:3 pbc="T T T"
Ir 2.499 1.443 0.617
Ir 7.498 4.329 5.296
H 2.499 1.443 2.295
H 7.498 4.329 3.617
H 4.115 1.987 0.869
H 4.662 4.101 0.869
H 5.335 1.671 5.043
H 5.882 3.785 5.043
H 3.778 3.202 5.043
H 6.219 2.570 0.869
Cd 0.000 0.000 0.000
Sr 4.999 2.886 2.956
```

=====

No. 12
Entry from Alexandria via LeMat-Bulk: an optimized crystal structure of SrCdH6Ir2 (GGA-PBE).

Output
- Space-group type: R-3m
- DFT total energy: -42.39 eV per cell
- Volume: 110 Å³ per cell
- DOS(E_F): 3.5 states/eV/cell

```
10
Lattice="-4.029 1.749 -1.837 -1.946 -2.035 -3.839 -4.966 -3.479 1.409" Properties=species:S:1:pos:R:3 pbc="T T T"
Ir -3.130 -1.390 -0.629
Ir -7.812 -2.375 -3.638
H -6.430 -1.853 -0.001
H -5.684 0.218 -3.139
H -7.525 -2.998 -2.162
H -5.257 -3.983 -1.128
H -3.416 -0.767 -2.105
H -4.512 -1.912 -4.265
Cd -5.471 -1.883 -2.133
Sr 0.000 0.000 0.000
```

=====

No. 13
Entry from Alexandria via LeMat-Bulk: an optimized crystal structure of TaCd2HIr (GGA-PBE).

Output
- Space-group type: P4/mmm
- DFT total energy: -18.19 eV per cell
- Volume: 151 Å³ per cell
- DOS(E_F): 4.0 states/eV/cell

```
5
Lattice="5.679 0.000 0.000 0.000 4.678 0.000 0.000 0.000 5.679" Properties=species:S:1:pos:R:3 pbc="T T T"
Cd 0.000 0.000 2.840
Cd 2.840 0.000 0.000
Ta 0.000 0.000 0.000
Ir 0.000 2.339 0.000
H 2.840 2.339 2.840
```

=====

No. 14
Entry from Alexandria via LeMat-Bulk: an optimized crystal structure of TbCdH6Ir2 (GGA-PBE).

Output
- Space-group type: C2/c
- DFT total energy: -91.75 eV per cell
- Volume: 200 Å³ per cell
- DOS(E_F): 5.3 states/eV/cell

```
20
Lattice="-4.986 -2.009 3.014 -1.560 -0.830 -5.904 3.414 -4.415 0.728" Properties=species:S:1:pos:R:3 pbc="T T T"
H -5.174 -2.825 0.400
H 0.825 -3.003 -0.089
H -0.190 -5.113 0.363
H 2.042 -4.429 -2.562
H -2.245 -6.456 -1.725
H -1.486 -2.848 1.814
H -2.942 -2.141 -2.524
H -1.646 -4.406 -3.976
H -0.888 -0.798 -0.437
H -1.968 -4.601 -0.253
H -1.164 -2.653 -1.909
H -3.958 -4.251 -2.073
Tb -1.247 -2.120 -4.315
Tb -1.885 -5.134 2.153
Ir 0.212 -1.860 -1.405
Ir 1.100 -4.349 1.088
Ir -3.344 -5.393 -0.757
Ir -4.233 -2.905 -3.250
Cd -2.842 -2.669 -0.163
Cd -0.290 -4.585 -1.999
```

=====

No. 15
Entry from Alexandria via LeMat-Bulk: an optimized crystal structure of CdTc2HIr (GGA-PBE).

Output
- Space-group type: P4/mmm
- DFT total energy: -24.69 eV per cell
- Volume: 119 Å³ per cell
- DOS(E_F): 4.7 states/eV/cell

```
5
Lattice="4.764 0.000 0.000 0.000 5.250 0.000 0.000 0.000 4.764" Properties=species:S:1:pos:R:3 pbc="T T T"
Tc 2.382 0.000 0.000
Tc 0.000 0.000 2.382
Ir 0.000 0.000 0.000
Cd 0.000 2.625 0.000
H 2.382 2.625 2.382
```

=====

No. 16
Entry from Alexandria via LeMat-Bulk: an optimized crystal structure of ThCdH8Ir2 (GGA-PBE).

Output
- Space-group type: C2/m
- DFT total energy: -55.15 eV per cell
- Volume: 114 Å³ per cell
- DOS(E_F): 0.3 states/eV/cell

```
12
Lattice="-3.119 1.293 -3.090 0.063 -2.461 -4.483 -4.417 -4.229 -0.701" Properties=species:S:1:pos:R:3 pbc="T T T"
H -5.889 -3.775 -7.405
H -4.416 -4.386 -5.945
H -2.038 -1.543 -5.367
H -1.581 -2.807 -2.968
H -5.892 -2.591 -5.306
H -5.435 -3.855 -2.907
H -3.057 -1.012 -2.329
H -1.584 -1.623 -0.869
Th -3.737 -2.699 -4.137
Ir -6.071 -4.211 -5.804
Ir -1.403 -1.186 -2.470
Cd 0.000 0.000 0.000
```

=====

No. 17
Entry from Alexandria via LeMat-Bulk: an optimized crystal structure of TlCdH6Ir (GGA-PBE).

Output
- Space-group type: P312
- DFT total energy: -32.58 eV per cell
- Volume: 118 Å³ per cell
- DOS(E_F): 0.0 states/eV/cell

```
9
Lattice="4.901 0.000 0.000 2.451 4.244 0.000 0.000 0.000 5.652" Properties=species:S:1:pos:R:3 pbc="T T T"
H 3.741 1.281 3.892
H 1.689 0.364 3.892
H 1.921 2.599 3.892
H 2.980 2.599 1.760
H 1.160 1.281 1.759
H 3.212 0.364 1.759
Cd 4.901 2.830 2.826
Tl 4.901 0.000 5.652
Ir 2.451 1.415 2.826
```

=====

No. 18
Entry from Alexandria via LeMat-Bulk: an optimized crystal structure of TlCdH2Ir (GGA-PBE).

Output
- Space-group type: P4/mmm
- DFT total energy: -16.12 eV per cell
- Volume: 81 Å³ per cell
- DOS(E_F): 1.7 states/eV/cell

```
5
Lattice="3.886 0.000 0.000 0.000 5.370 0.000 0.000 0.000 3.886" Properties=species:S:1:pos:R:3 pbc="T T T"
Ir 0.000 0.000 0.000
Cd 1.943 2.685 1.943
H 1.943 0.000 0.000
H 0.000 0.000 1.943
Tl 0.000 2.685 0.000
```

=====

No. 19
Entry from Alexandria via LeMat-Bulk: an optimized crystal structure of TmCdH8Ir2 (GGA-PBE).

Output
- Space-group type: C2/m
- DFT total energy: -51.44 eV per cell
- Volume: 106 Å³ per cell
- DOS(E_F): 2.2 states/eV/cell

```
12
Lattice="-3.608 2.047 1.097 -3.021 -2.406 2.946 0.141 1.297 6.434" Properties=species:S:1:pos:R:3 pbc="T T T"
H -1.645 -0.436 3.794
H -4.385 -0.642 7.636
H -3.926 0.483 2.967
H -4.843 1.373 6.683
H -2.104 1.580 2.841
H -2.562 0.454 7.510
H -6.241 0.411 8.200
H -0.248 0.527 2.277
Ir -4.660 0.835 8.291
Ir -1.829 0.102 2.186
Tm -3.244 0.469 5.238
Cd 0.000 0.000 0.000
```

=====

No. 20
Entry from Alexandria via LeMat-Bulk: an optimized crystal structure of TmCdH6Ir2 (GGA-PBE).

Output
- Space-group type: C2/c
- DFT total energy: -91.28 eV per cell
- Volume: 196 Å³ per cell
- DOS(E_F): 5.1 states/eV/cell

```
20
Lattice="6.092 -0.292 0.236 -1.035 6.011 0.236 -1.228 -1.388 5.269" Properties=species:S:1:pos:R:3 pbc="T T T"
Ir 0.857 -0.766 4.428
Ir -0.251 1.451 1.794
Ir 2.973 5.097 1.313
Ir 4.081 2.880 3.948
H 0.152 0.185 3.071
H 2.874 -0.510 2.198
H 3.051 3.464 5.305
H 0.779 0.867 0.437
H 2.938 1.699 3.677
H 0.956 4.841 3.544
H 0.891 2.632 2.065
H -1.472 2.095 4.832
H 5.301 2.235 0.910
H 1.940 3.819 1.043
H 1.889 0.512 4.699
H 3.678 4.146 2.670
Tm -0.232 4.682 1.554
Tm 4.061 -0.351 4.188
Cd 3.058 1.773 1.554
Cd 0.771 2.558 4.188
```